## LaEuLuMg (PBE)

Data for a geometry-optimized LaEuLuMg structure.

Unit cell a=5.6842 b=5.6842 c=5.6842 alpha=60.00 beta=60.00 gamma=60.00
Last column: nearest neighbours and their distance in Å.
Fractional positions:
Eu (0.2500, 0.2500, 0.2500)  4 Lu 3.48, 4 Mg 3.48
Mg (0.0000, 0.0000, 0.0000)  4 Eu 3.48, 4 La 3.48
La (0.7500, 0.7500, 0.7500)  4 Mg 3.48, 4 Lu 3.48
Lu (0.5000, 0.5000, 0.5000)  4 La 3.48, 4 Eu 3.48

Computed properties:
DOS at the Fermi energy	1.269	states/eV/atom
symmetry	F-43m
volume	32.47	A^3/atom
spin magnetization	7.2	μB per cell
ΔH_f (0 K)	0.17	eV per formula unit